The following is a DFT calculation (PBE-GGA) of Co2WCl after structural relaxation.

Calculated values
Total moment: 2.967 μB/f.u.
Total energy: -0.24957 hartree per atom
Energy above the most stable polymorph in this dataset: 0.183 eV per atom
ΔE_f (raw): 462 meV/atom

Lattice parameters (Å, degrees): 2.975 2.975 7.270 90.00 90.00 90.00
Space group P4mm (No. 99)
Inequivalent atoms, fractional coordinates:
Co: 0.000 0.000 0.000 [1 per cell]
Co: 0.500 0.500 0.139 [1 per cell]
W: 0.000 0.000 0.344 [1 per cell]
Cl: 0.500 0.500 0.588 [1 per cell]